(1)
Material: CsBiSeCl2
Method: DFT, GGA-PBE
State: optimized geometry

## Properties
* total magnetization: 0.00 μB per formula unit
* energy above the most stable polymorph in this dataset: 0 meV/atom
* V: 34.76 A^3/atom
* energy relative to the elements, uncorrected: -1.129 eV/atom

a b c (Å): 4.253 9.934 8.422
angles (deg): 90.00 90.00 102.36
Sites, in units of the cell vectors:
Cs (0.711, 0.423, 0.750)
Cs (0.289, 0.577, 0.250)
Bi (0.000, 0.000, 0.000)
Bi (0.000, 0.000, 0.500)
Se (0.514, 0.029, 0.750)
Se (0.486, 0.971, 0.250)
Cl (0.140, 0.280, 0.021)
Cl (0.860, 0.720, 0.979)
Cl (0.140, 0.280, 0.479)
Cl (0.860, 0.720, 0.521)

---

(2)
Material: Pm2ThSc
Method: DFT, GGA-PBE
State: optimized geometry

## Properties
* density of states at the Fermi level: 4.92 states/eV/cell
* total magnetization: 0.00 μB per formula unit
* energy above the most stable polymorph in this dataset: 135 meV/atom
* ΔE_f: 196 meV per atom
* V: 31.60 A^3/atom

a b c (Å): 3.441 3.441 12.486
angles (deg): 82.08 82.08 60.00
Sites, in units of the cell vectors:
Sc (0.500, 0.500, 0.500)
Th (0.000, 0.000, 0.000)
Pm (0.092, 0.092, 0.724)
Pm (0.908, 0.908, 0.276)

---

(3)
Material: ErGe2I8
Method: DFT, GGA-PBE
State: optimized geometry

## Properties
* density of states at the Fermi level: 5.14 states/eV/cell
* total magnetization: 0.00 μB per formula unit
* V: 52.78 A^3/atom
* energy relative to the elements, uncorrected: -0.601 eV/atom

a b c (Å): 7.663 8.847 8.847
angles (deg): 83.48 80.32 80.32
Sites, in units of the cell vectors:
Er (0.000, 0.000, 0.000)
Ge (0.647, 0.812, 0.812)
Ge (0.353, 0.188, 0.188)
I (0.209, 0.264, 0.908)
I (0.791, 0.092, 0.736)
I (0.271, 0.793, 0.793)
I (0.729, 0.207, 0.207)
I (0.209, 0.908, 0.264)
I (0.791, 0.736, 0.092)
I (0.830, 0.617, 0.617)
I (0.170, 0.383, 0.383)

---

(4)
Material: CoOsN2
Method: DFT, GGA-PBE
State: optimized geometry

## Properties
* density of states at the Fermi level: 3.46 states/eV/cell
* total magnetization: 0.00 μB per formula unit
* energy above the most stable polymorph in this dataset: 0 meV/atom
* V: 10.91 A^3/atom
* energy relative to the elements, uncorrected: 0.314 eV/atom

a b c (Å): 4.431 4.431 5.439
angles (deg): 65.96 65.96 90.00
Sites, in units of the cell vectors:
Co (0.500, 0.500, 0.000)
Co (0.250, 0.750, 0.500)
Os (0.000, 0.000, 0.000)
Os (0.750, 0.250, 0.500)
N (0.612, 0.125, 0.250)
N (0.138, 0.625, 0.250)
N (0.375, 0.388, 0.750)
N (0.875, 0.862, 0.750)

---

(5)
Material: Y4Sn
Method: DFT, GGA-PBE
State: optimized geometry

## Properties
* density of states at the Fermi level: 10.12 states/eV/cell
* total magnetization: 1.82 μB per formula unit
* ΔE_f: 199 meV per atom
* V: 38.03 A^3/atom

a b c (Å): 5.750 5.750 5.750
angles (deg): 90.00 90.00 90.00
Site moments in Bohr magnetons follow the coordinates.
Sites, in units of the cell vectors:
Y (0.000, 0.000, 0.000)  0.22
Y (0.500, 0.000, 0.500)  0.17
Y (0.000, 0.500, 0.500)  0.17
Y (0.500, 0.500, 0.000)  0.17
Sn (0.500, 0.500, 0.500)  0.00

---

(6)
Material: K2Na3Tl
Method: DFT, GGA-PBE
State: optimized geometry

## Properties
* density of states at the Fermi level: 3.79 states/eV/cell
* total magnetization: 0.00 μB per formula unit
* energy above the most stable polymorph in this dataset: 0 meV/atom
* ΔE_f: -44 meV per atom
* V: 41.05 A^3/atom

a b c (Å): 7.166 7.166 6.931
angles (deg): 89.59 121.73 119.88
Sites, in units of the cell vectors:
K (0.743, 0.372, 0.115)
K (0.257, 0.628, 0.885)
Na (0.500, 0.500, 0.500)
Na (0.000, 0.000, 0.500)
Na (0.500, 0.000, 0.500)
Tl (0.000, 0.000, 0.000)

---

(7)
Material: ScCu2Ir
Method: DFT, GGA-PBE
State: optimized geometry

## Properties
* density of states at the Fermi level: 2.60 states/eV/cell
* total magnetization: 0.00 μB per formula unit
* energy above the most stable polymorph in this dataset: 111 meV/atom
* ΔE_f: -300 meV per atom
* V: 14.62 A^3/atom

a b c (Å): 4.356 4.356 4.356
angles (deg): 60.00 60.00 60.00
Sites, in units of the cell vectors:
Sc (0.000, 0.000, 0.000)
Ir (0.500, 0.500, 0.500)
Cu (0.250, 0.250, 0.250)
Cu (0.750, 0.750, 0.750)

---

(8)
Material: MgBeSi2
Method: DFT, GGA-PBE
State: optimized geometry

## Properties
* density of states at the Fermi level: 1.57 states/eV/cell
* total magnetization: 0.00 μB per formula unit
* energy above the most stable polymorph in this dataset: 243 meV/atom
* V: 14.28 A^3/atom
* energy relative to the elements, uncorrected: 0.344 eV/atom

a b c (Å): 4.820 4.820 4.820
angles (deg): 133.92 133.92 67.21
Sites, in units of the cell vectors:
Be (0.500, 0.500, 0.000)
Si (0.000, 0.000, 0.000)
Si (0.250, 0.750, 0.500)
Mg (0.750, 0.250, 0.500)

---

Copy entry 2 word for word.
Material: Pm2ThSc
Method: DFT, GGA-PBE
State: optimized geometry

## Properties
* density of states at the Fermi level: 4.92 states/eV/cell
* total magnetization: 0.00 μB per formula unit
* energy above the most stable polymorph in this dataset: 135 meV/atom
* ΔE_f: 196 meV per atom
* V: 31.60 A^3/atom

a b c (Å): 3.441 3.441 12.486
angles (deg): 82.08 82.08 60.00
Sites, in units of the cell vectors:
Sc (0.500, 0.500, 0.500)
Th (0.000, 0.000, 0.000)
Pm (0.092, 0.092, 0.724)
Pm (0.908, 0.908, 0.276)

---

> Which formula does entry 5 have?

Y4Sn

---

> Look up the total magnetization of the third one.

0.00 μB per formula unit

---

> Which formula does entry 7 have?

ScCu2Ir